Record 1
This record from Alexandria via LeMat-Bulk describes an optimized crystal structure of Pu2CuS3. The functional is PBE.

```
6
Lattice="3.695 0.000 0.000 0.000 4.318 0.000 -1.847 -2.159 7.624" Properties=species:S:1:pos:R:3 pbc="T T T"
Cu 0.000 0.000 0.000
S 0.000 2.159 0.000
S 1.847 2.159 4.975
S 0.000 0.000 2.649
Pu 1.847 2.159 2.189
Pu 0.000 0.000 5.435
```

- formation energy from raw total energies (eV per atom) = -1.301
- space group = Immm (71)

Record 2
This record from Alexandria via LeMat-Bulk describes an optimized crystal structure of Pu2CuTcGe6. The functional is PBE.

```
20
Lattice="-3.260 3.172 -4.179 0.551 -1.332 -6.006 -9.765 -7.267 -2.461" Properties=species:S:1:pos:R:3 pbc="T T T"
Ge -7.766 -3.230 -8.238
Ge -1.850 -0.791 -6.346
Ge -4.708 -2.196 -4.408
Ge -9.238 -5.984 -4.524
Ge -3.470 1.123 -5.570
Ge -4.380 -2.989 -7.981
Ge -5.826 -5.117 -5.752
Ge -8.094 -2.438 -4.665
Ge -3.236 0.557 -8.122
Ge -10.623 -4.636 -6.300
Ge -6.648 -0.310 -6.894
Ge -9.003 -6.550 -7.076
Cu -8.180 -4.441 -6.118
Cu -4.293 -0.985 -6.528
Pu -10.550 -5.132 -9.359
Pu -6.868 -4.691 -2.767
Pu -5.606 -0.736 -9.879
Pu -1.924 -0.294 -3.287
Tc -6.237 -2.713 -6.323
Tc 0.000 0.000 0.000
```

- E_form (kJ/mol of formula units) = -149
- space group = R-3m (166)